# PBE AcPrNi3, relaxed
data_AcPrNi3
_space_group_name_H-M_alt 'C m c m'
_space_group_IT_number 63
_space_group_name_Hall '-C 2c 2'
_cell_length_a 4.163
_cell_length_b 24.948
_cell_length_c 4.137
_cell_angle_alpha 90.00
_cell_angle_beta 90.00
_cell_angle_gamma 90.00
loop_
_atom_site_label
_atom_site_fract_x
_atom_site_fract_y
_atom_site_fract_z
Ac1 0.000 0.072 0.250
Pr1 0.000 0.204 0.750
Ni1 0.000 0.326 0.750
Ni2 0.000 0.378 0.250
Ni3 0.000 0.475 0.250
# E	-110.54	eV for the cell shown
# DOS at the Fermi energy	1.072	states/eV/atom

# PBE LiAl2Ag4, relaxed
data_LiAl2Ag4
_space_group_name_H-M_alt 'C m m m'
_space_group_IT_number 65
_space_group_name_Hall '-C 2 2'
_cell_length_a 2.814
_cell_length_b 31.484
_cell_length_c 2.898
_cell_angle_alpha 90.00
_cell_angle_beta 90.00
_cell_angle_gamma 90.00
loop_
_atom_site_label
_atom_site_fract_x
_atom_site_fract_y
_atom_site_fract_z
Li1 0.000 0.000 0.000
Al1 0.000 0.286 0.500
Ag1 0.000 0.073 0.500
Ag2 0.000 0.153 0.000
# E	-40.77	eV for the cell shown
# DOS at the Fermi energy	0.302	states/eV/atom
# relative energy among the computed polymorphs	0.160	eV per atom

# PBE CdTcH2, relaxed
data_CdTcH2
_space_group_name_H-M_alt 'R 3 m'
_space_group_IT_number 160
_space_group_name_Hall 'R 3 -2"'
_cell_length_a 2.9734
_cell_length_b 2.9734
_cell_length_c 16.5708
_cell_angle_alpha 90.00
_cell_angle_beta 90.00
_cell_angle_gamma 120.00
loop_
_atom_site_label
_atom_site_fract_x
_atom_site_fract_y
_atom_site_fract_z
Cd1 0.0000 0.0000 0.0000
Tc1 0.0000 0.0000 0.1776
H1 0.0000 0.0000 0.5523
H2 0.0000 0.0000 0.7959
# E	-51.63	eV for the cell shown
# DOS at the Fermi energy	0.392	states/eV/atom
# relative energy among the computed polymorphs	0.000	eV per atom

# PBE CaPrDy2, relaxed
data_CaPrDy2
_space_group_name_H-M_alt 'P 4/m m m'
_space_group_IT_number 123
_space_group_name_Hall '-P 4 2'
_cell_length_a 5.118
_cell_length_b 5.118
_cell_length_c 5.234
_cell_angle_alpha 90.00
_cell_angle_beta 90.00
_cell_angle_gamma 90.00
loop_
_atom_site_label
_atom_site_fract_x
_atom_site_fract_y
_atom_site_fract_z
Ca1 0.000 0.000 0.000
Pr1 0.500 0.500 0.000
Dy1 0.000 0.500 0.500
# E	-15.54	eV for the cell shown
# DOS at the Fermi energy	1.571	states/eV/atom
# relative energy among the computed polymorphs	0.048	eV per atom